Computed, not measured: NaNd2Cl6 after structural relaxation at the PBE-GGA level of DFT.

Cell and atoms, written as CIF:
```
data_NaNd2Cl6
_chemical_formula_sum 'Na2 Nd4 Cl12'
_cell_length_a 6.734
_cell_length_b 6.734
_cell_length_c 12.091
_cell_angle_alpha 90.00
_cell_angle_beta 90.00
_cell_angle_gamma 90.00
_symmetry_space_group_name_H-M 'P 42/m n m'
_symmetry_Int_Tables_number 136
_symmetry_space_group_name_Hall '-P 4n 2n'
loop_
_atom_site_label
_atom_site_type_symbol
_atom_site_fract_x
_atom_site_fract_y
_atom_site_fract_z
Na1 Na 0.000 0.000 0.000
Nd1 Nd 0.000 0.000 0.345
Cl1 Cl 0.206 0.206 0.173
Cl2 Cl 0.215 0.215 0.500
```

Properties
The relative energy among the computed polymorphs is 0.000 kcal/mol of atoms. As for the total energy: -4.481 eV/atom. As for the raw formation energy: -2.0442 eV per atom. As for the crystal system: tetragonal. The density of states at the Fermi level is 0.018 states/eV/atom.